Hf8InIr2 | Alexandria | GGA-PBE | optimized geometry; DFT total energy = -103.1 eV/cell; total magnetization = 0.0 μB/cell; formation energy = -2.97 eV/f.u.; space-group type = C2/m
1.0
5.230 -0.166 -0.249
-1.117 7.323 -0.353
-1.117 -3.146 6.622
Hf Ir In
8 2 1
direct
0.692 0.409 0.409
0.939 0.670 0.907
0.308 0.591 0.591
0.500 0.749 0.251
0.061 0.330 0.093
0.061 0.093 0.330
0.939 0.907 0.670
0.500 0.251 0.749
0.000 0.291 0.709
0.000 0.709 0.291
0.500 0.000 0.000

HfInIr2 | Alexandria | GGA-PBE | optimized geometry; DFT total energy = -32.8 eV/cell; total magnetization = 0.0 μB/cell; formation energy = -2.34 eV/f.u.; space-group type = P4/mmm
1.0
3.671 0.000 0.000
0.000 4.331 0.000
0.000 0.000 4.331
Ir Hf In
2 1 1
direct
0.000 0.500 0.000
0.000 0.000 0.500
0.500 0.000 0.000
0.500 0.500 0.500

Hf3InIr | Alexandria | GGA-PBE | optimized geometry; DFT total energy = -41.1 eV/cell; total magnetization = 0.0 μB/cell; formation energy = 0.39 eV/f.u.; space-group type = Pm-3m
1.0
5.027 0.000 0.000
0.000 5.027 0.000
0.000 0.000 5.027
Hf Ir In
3 1 1
direct
0.000 0.000 0.500
0.500 0.000 0.000
0.000 0.500 0.000
0.000 0.000 0.000
0.500 0.500 0.500

Hf2InIr | Alexandria | GGA-PBE | optimized geometry; DFT total energy = -32.8 eV/cell; total magnetization = 0.0 μB/cell; formation energy = -1.26 eV/f.u.; space-group type = R-3m
1.0
-2.239 1.738 -1.995
-2.928 -1.527 -1.056
-5.672 2.885 5.868
Hf Ir In
2 1 1
direct
0.736 0.736 0.793
0.264 0.264 0.207
0.000 0.000 0.000
0.500 0.500 0.500

HfIn2Ir2 | Alexandria | GGA-PBE | optimized geometry; DFT total energy = -69.3 eV/cell; total magnetization = 0.0 μB/cell; formation energy = -1.48 eV/f.u.; space-group type = P4/mbm
1.0
-2.484 -0.333 -6.436
-4.960 -4.305 2.137
-2.429 3.182 0.773
Hf Ir In
2 4 4
direct
0.500 0.500 0.000
0.000 0.000 0.000
0.636 0.136 0.000
0.364 0.864 0.000
0.864 0.636 0.000
0.136 0.364 0.000
0.667 0.833 0.500
0.833 0.333 0.500
0.167 0.667 0.500
0.333 0.167 0.500

Hf2InIr | Alexandria | GGA-PBE | optimized geometry; DFT total energy = -33.1 eV/cell; total magnetization = 0.0 μB/cell; formation energy = -1.56 eV/f.u.; space-group type = P4/mmm
1.0
4.003 0.000 0.000
0.000 4.386 0.000
0.000 0.000 4.386
Ir Hf In
1 2 1
direct
0.500 0.500 0.500
0.000 0.000 0.500
0.000 0.500 0.000
0.500 0.000 0.000